Entry 1:
TlSn2HgBi: relaxed, PBE.

```
data_TlSn2HgBi
_symmetry_space_group_name_H-M 'P 1 21/m 1'
_symmetry_Int_Tables_number 11
_symmetry_space_group_name_Hall '-P 2yb'
_cell_length_a 7.268
_cell_length_b 4.308
_cell_length_c 10.719
_cell_angle_alpha 90.00
_cell_angle_beta 109.20
_cell_angle_gamma 90.00
loop_
_atom_site_label
_atom_site_fract_x
_atom_site_fract_y
_atom_site_fract_z
_atom_site_occupancy
Tl1 0.171 0.250 0.274 1
Sn1 0.118 0.250 0.624 1
Sn2 0.390 0.750 0.842 1
Hg1 0.370 0.750 0.532 1
Bi1 0.172 0.250 0.950 1
```

***

Entry 2:
Tl3SnHg2Bi3: relaxed, PBE.

```
data_Tl3SnHg2Bi3
_symmetry_space_group_name_H-M 'P -6 2 m'
_symmetry_Int_Tables_number 189
_symmetry_space_group_name_Hall 'P -6 -2'
_cell_length_a 8.0570
_cell_length_b 8.0570
_cell_length_c 5.0610
_cell_angle_alpha 90.00
_cell_angle_beta 90.00
_cell_angle_gamma 120.00
loop_
_atom_site_label
_atom_site_fract_x
_atom_site_fract_y
_atom_site_fract_z
_atom_site_occupancy
Tl1 0.0000 0.4274 0.0000 1
Sn1 0.0000 0.0000 0.0000 1
Hg1 0.3333 0.6667 0.5000 1
Bi1 0.0000 0.7421 0.5000 1
```

***

Entry 3:
TmSnHgBi: relaxed, PBE.

```
data_TmSnHgBi
_symmetry_space_group_name_H-M 'F -4 3 m'
_symmetry_Int_Tables_number 216
_symmetry_space_group_name_Hall 'F -4 2 3'
_cell_length_a 7.623
_cell_length_b 7.623
_cell_length_c 7.623
_cell_angle_alpha 90.00
_cell_angle_beta 90.00
_cell_angle_gamma 90.00
loop_
_atom_site_label
_atom_site_fract_x
_atom_site_fract_y
_atom_site_fract_z
_atom_site_occupancy
Tm1 0.000 0.000 0.000 1
Sn1 0.000 0.000 0.500 1
Hg1 0.250 0.250 0.750 1
Bi1 0.250 0.250 0.250 1
```

***

Entry 4:
Sr2HgBi2: relaxed, PBE.

```
data_Sr2HgBi2
_symmetry_space_group_name_H-M 'C 1 2/m 1'
_symmetry_Int_Tables_number 12
_symmetry_space_group_name_Hall '-C 2y'
_cell_length_a 12.999
_cell_length_b 4.917
_cell_length_c 11.847
_cell_angle_alpha 90.00
_cell_angle_beta 111.81
_cell_angle_gamma 90.00
loop_
_atom_site_label
_atom_site_fract_x
_atom_site_fract_y
_atom_site_fract_z
_atom_site_occupancy
Sr1 0.023 0.000 0.339 1
Sr2 0.176 0.000 0.107 1
Hg1 0.209 0.500 0.338 1
Bi1 0.049 0.500 0.894 1
Bi2 0.136 0.500 0.583 1
```

***

Entry 5:
SrHgBi2: relaxed, PBE.

```
data_SrHgBi2
_symmetry_space_group_name_H-M 'C m c m'
_symmetry_Int_Tables_number 63
_symmetry_space_group_name_Hall '-C 2c 2'
_cell_length_a 6.909
_cell_length_b 12.805
_cell_length_c 5.797
_cell_angle_alpha 90.00
_cell_angle_beta 90.00
_cell_angle_gamma 90.00
loop_
_atom_site_label
_atom_site_fract_x
_atom_site_fract_y
_atom_site_fract_z
_atom_site_occupancy
Sr1 0.000 0.184 0.250 1
Hg1 0.000 0.328 0.750 1
Bi1 0.237 0.438 0.250 1
```

***

Entry 6:
# Sr4HgBi PBE relaxed
# - distance to the lowest polymorph of the same formula (eV per atom) = 0.053
data_Sr4HgBi
_symmetry_space_group_name_H-M 'P 4/m m m'
_symmetry_Int_Tables_number 123
_symmetry_space_group_name_Hall '-P 4 2'
_cell_length_a 5.633
_cell_length_b 5.633
_cell_length_c 8.193
_cell_angle_alpha 90.00
_cell_angle_beta 90.00
_cell_angle_gamma 90.00
loop_
_atom_site_label
_atom_site_fract_x
_atom_site_fract_y
_atom_site_fract_z
_atom_site_occupancy
Sr1 0.000 0.500 0.241 1
Hg1 0.000 0.000 0.000 1
Bi1 0.500 0.500 0.500 1

***

Entry 7:
# SrHgBi3 PBE relaxed
# - distance to the lowest polymorph of the same formula (eV per atom) = 0.257
data_SrHgBi3
_symmetry_space_group_name_H-M 'P m -3 m'
_symmetry_Int_Tables_number 221
_symmetry_space_group_name_Hall '-P 4 2 3'
_cell_length_a 5.774
_cell_length_b 5.774
_cell_length_c 5.774
_cell_angle_alpha 90.00
_cell_angle_beta 90.00
_cell_angle_gamma 90.00
loop_
_atom_site_label
_atom_site_fract_x
_atom_site_fract_y
_atom_site_fract_z
_atom_site_occupancy
Sr1 0.000 0.000 0.000 1
Hg1 0.500 0.500 0.500 1
Bi1 0.000 0.500 0.500 1

***

Entry 8:
# SrHg3Bi PBE relaxed
# - distance to the lowest polymorph of the same formula (eV per atom) = 0.730
data_SrHg3Bi
_symmetry_space_group_name_H-M 'P m -3 m'
_symmetry_Int_Tables_number 221
_symmetry_space_group_name_Hall '-P 4 2 3'
_cell_length_a 5.987
_cell_length_b 5.987
_cell_length_c 5.987
_cell_angle_alpha 90.00
_cell_angle_beta 90.00
_cell_angle_gamma 90.00
loop_
_atom_site_label
_atom_site_fract_x
_atom_site_fract_y
_atom_site_fract_z
_atom_site_occupancy
Sr1 0.000 0.000 0.000 1
Hg1 0.000 0.000 0.500 1
Bi1 0.500 0.500 0.500 1

***

Entry 9:
# SrHgBi PBE relaxed
# - distance to the lowest polymorph of the same formula (eV per atom) = 0.039
data_SrHgBi
_symmetry_space_group_name_H-M 'P -6 m 2'
_symmetry_Int_Tables_number 187
_symmetry_space_group_name_Hall 'P -6 2'
_cell_length_a 5.1659
_cell_length_b 5.1659
_cell_length_c 9.2630
_cell_angle_alpha 90.00
_cell_angle_beta 90.00
_cell_angle_gamma 120.00
loop_
_atom_site_label
_atom_site_fract_x
_atom_site_fract_y
_atom_site_fract_z
_atom_site_occupancy
Sr1 0.0000 0.0000 0.2062 1
Hg1 0.6667 0.3333 0.3428 1
Bi1 0.3333 0.6667 0.5000 1
Bi2 0.6667 0.3333 0.0000 1

***

Entry 10:
# SrHg2Bi2 PBE relaxed
# - distance to the lowest polymorph of the same formula (eV per atom) = 0.048
data_SrHg2Bi2
_symmetry_space_group_name_H-M 'P 4/m b m'
_symmetry_Int_Tables_number 127
_symmetry_space_group_name_Hall '-P 4 2ab'
_cell_length_a 8.757
_cell_length_b 8.757
_cell_length_c 3.960
_cell_angle_alpha 90.00
_cell_angle_beta 90.00
_cell_angle_gamma 90.00
loop_
_atom_site_label
_atom_site_fract_x
_atom_site_fract_y
_atom_site_fract_z
_atom_site_occupancy
Sr1 0.000 0.000 0.000 1
Hg1 0.118 0.382 0.000 1
Bi1 0.185 0.685 0.500 1

***

Entry 11:
Sr2HgBi2: relaxed, PBE.

```
data_Sr2HgBi2
_symmetry_space_group_name_H-M 'P 4/m b m'
_symmetry_Int_Tables_number 127
_symmetry_space_group_name_Hall '-P 4 2ab'
_cell_length_a 8.583
_cell_length_b 8.583
_cell_length_c 4.817
_cell_angle_alpha 90.00
_cell_angle_beta 90.00
_cell_angle_gamma 90.00
loop_
_atom_site_label
_atom_site_fract_x
_atom_site_fract_y
_atom_site_fract_z
_atom_site_occupancy
Sr1 0.175 0.325 0.000 1
Hg1 0.000 0.000 0.500 1
Bi1 0.126 0.626 0.500 1
```

***

Entry 12:
# Sr2HgBi PBE relaxed
# - distance to the lowest polymorph of the same formula (eV per atom) = 0.424
data_Sr2HgBi
_symmetry_space_group_name_H-M 'I -4 2 d'
_symmetry_Int_Tables_number 122
_symmetry_space_group_name_Hall 'I -4 2bw'
_cell_length_a 6.085
_cell_length_b 6.085
_cell_length_c 19.937
_cell_angle_alpha 90.00
_cell_angle_beta 90.00
_cell_angle_gamma 90.00
loop_
_atom_site_label
_atom_site_fract_x
_atom_site_fract_y
_atom_site_fract_z
_atom_site_occupancy
Sr1 0.249 0.250 0.125 1
Hg1 0.000 0.000 0.500 1
Bi1 0.000 0.000 0.000 1

***

Entry 13:
# SrHgBi PBE relaxed
# - distance to the lowest polymorph of the same formula (eV per atom) = 0.026
data_SrHgBi
_symmetry_space_group_name_H-M 'F -4 3 m'
_symmetry_Int_Tables_number 216
_symmetry_space_group_name_Hall 'F -4 2 3'
_cell_length_a 7.503
_cell_length_b 7.503
_cell_length_c 7.503
_cell_angle_alpha 90.00
_cell_angle_beta 90.00
_cell_angle_gamma 90.00
loop_
_atom_site_label
_atom_site_fract_x
_atom_site_fract_y
_atom_site_fract_z
_atom_site_occupancy
Sr1 0.000 0.000 0.000 1
Hg1 0.250 0.250 0.250 1
Bi1 0.000 0.000 0.500 1

***

Quick rundown of N(E_F), same order as above: 0.3666 0.5074 0.8784 0.2056 0.2984 0.7594 0.9288 0.8862 0.3550 0.3875 0.3782 0.4190 0.8081 states/eV/atom
Quick rundown of raw total energy, same order as above: -14.25 -23.13 -13.38 -14.63 -11.49 -13.94 -13.07 -4.46 -7.32 -11.40 -14.46 -8.77 -7.36 eV per formula unit
Quick rundown of M_tot, same order as above: 0.0 0.0 0.0 0.0 0.0 0.0 0.0 0.0 0.0 0.0 0.0 0.0 0.0 μB per cell